No. 1
## Mg2PaMnO6 (GGA+U)

Data for a relaxed structure of Mg2PaMnO6.

The value obtained for the uncorrected energy is -7.668 eV/atom. As for the space-group type: P1 (1).

Cell and atoms, written as POSCAR:
```
Mg2PaMnO6
1.0
-2.665 4.411 1.188
-2.763 2.770 -3.920
-5.907 -0.070 -0.227
Mg O Mn Pa
2 6 1 1
Direct
0.526 0.504 0.431
0.034 0.022 0.927
0.432 0.728 0.759
0.096 0.435 0.749
0.706 0.136 0.764
0.204 0.895 0.267
0.622 0.196 0.279
0.909 0.618 0.235
0.821 0.812 0.544
0.311 0.316 0.060
```

No. 2
## MgPa2MnO8 (GGA+U)

Data for a relaxed structure of MgPa2MnO8.

The value obtained for the uncorrected energy is -8.416 eV/atom. As for the space-group type: I-4 (82).

Cell and atoms, written as POSCAR:
```
MgPa2MnO8
1.0
5.236 0.000 0.000
0.000 5.236 0.000
-2.618 -2.618 5.453
O Mg Mn Pa
8 1 1 2
Direct
0.177 0.103 0.840
0.478 0.455 0.329
0.263 0.823 0.160
0.897 0.337 0.160
0.545 0.150 0.671
0.850 0.874 0.329
0.126 0.522 0.671
0.663 0.737 0.840
0.750 0.250 0.500
0.000 0.000 0.000
0.500 0.500 0.000
0.250 0.750 0.500
```

No. 3
## MgPaMnO6 (GGA+U)

Data for a relaxed structure of MgPaMnO6.

The value obtained for the uncorrected energy is -7.685 eV/atom. As for the space-group type: P4_2nm (102).

Cell and atoms, written as POSCAR:
```
MgPaMnO6
1.0
4.786 0.000 0.000
0.000 4.786 0.000
0.000 0.000 9.562
O Mg Pa Mn
12 2 2 2
Direct
0.190 0.810 0.183
0.817 0.183 0.489
0.317 0.317 0.989
0.787 0.213 0.830
0.213 0.787 0.830
0.810 0.190 0.183
0.310 0.310 0.683
0.713 0.713 0.330
0.690 0.690 0.683
0.287 0.287 0.330
0.683 0.683 0.989
0.183 0.817 0.489
0.000 0.000 0.665
0.500 0.500 0.165
0.500 0.500 0.499
0.000 0.000 0.999
0.000 0.000 0.333
0.500 0.500 0.833
```

No. 4
## MgPaMn2O6 (GGA+U)

Data for a relaxed structure of MgPaMn2O6.

The value obtained for the uncorrected energy is -7.938 eV/atom. As for the space-group type: P1 (1).

Cell and atoms, written as POSCAR:
```
MgPaMn2O6
1.0
-3.590 -1.400 3.775
1.294 -3.659 3.728
0.944 1.848 5.320
O Pa Mn Mg
6 1 2 1
Direct
0.207 0.912 0.236
0.397 0.739 0.754
0.639 0.210 0.242
0.907 0.637 0.248
0.109 0.395 0.761
0.743 0.103 0.764
0.314 0.322 0.051
0.011 0.004 0.969
0.526 0.530 0.419
0.808 0.810 0.571
```

No. 5
## MgMnPb2O6 (GGA+U)

Data for a relaxed structure of MgMnPb2O6.

The value obtained for the uncorrected energy is -6.011 eV/atom. As for the space-group type: R3 (146).

Cell and atoms, written as POSCAR:
```
MgMnPb2O6
1.0
5.489 0.000 0.000
2.744 4.753 0.000
2.744 1.585 4.840
O Pb Mn Mg
6 2 1 1
Direct
0.596 0.177 0.284
0.523 0.642 0.755
0.943 0.596 0.284
0.080 0.523 0.755
0.642 0.080 0.755
0.177 0.943 0.284
0.048 0.048 0.857
0.525 0.525 0.426
0.819 0.819 0.542
0.309 0.309 0.073
```

No. 6
## Mg2MnPbO6 (GGA+U)

Data for a relaxed structure of Mg2MnPbO6.

The value obtained for the uncorrected energy is -6.136 eV/atom. As for the space-group type: R3 (146).

Cell and atoms, written as POSCAR:
```
Mg2MnPbO6
1.0
-0.947 1.679 -4.897
-4.807 -0.525 -2.076
-3.105 4.611 -0.646
O Mn Mg Pb
6 1 2 1
Direct
0.726 0.090 0.741
0.637 0.203 0.265
0.895 0.636 0.265
0.443 0.726 0.741
0.203 0.895 0.265
0.090 0.443 0.741
0.819 0.819 0.544
0.025 0.025 0.924
0.516 0.516 0.451
0.307 0.307 0.079
```